Material: Y3Zn2Pd3
Method: DFT, PBE-GGA
State: relaxed

Space-group type   P6_3/mcm (193)
ΔH_f (0 K)   -0.679 eV per atom
Final energy   -5.3687 eV per atom

abc: 8.272 8.272 5.599
angles: 90.00 90.00 120.00
Element x y z (fractional)
1 Y 0.000 0.268 0.250
2 Y 0.000 0.732 0.750
3 Y 0.268 0.000 0.250
4 Y 0.268 0.268 0.750
5 Y 0.732 0.000 0.750
6 Y 0.732 0.732 0.250
7 Zn 0.333 0.667 0.000
8 Zn 0.333 0.667 0.500
9 Zn 0.667 0.333 0.000
10 Zn 0.667 0.333 0.500
11 Pd 0.000 0.396 0.750
12 Pd 0.000 0.604 0.250
13 Pd 0.396 0.000 0.750
14 Pd 0.396 0.396 0.250
15 Pd 0.604 0.000 0.250
16 Pd 0.604 0.604 0.750